# PBE La6Pr2Sm5, optimized geometry
# formation energy from the elements = 0.097 eV per atom
# E = -4.727 eV/atom
data_La6Pr2Sm5
_chemical_formula_sum 'La12 Pr4 Sm10'
_space_group_name_H-M_alt 'P b a m'
_space_group_IT_number 55
_cell_length_a 12.0639
_cell_length_b 21.1003
_cell_length_c 3.6995
_cell_angle_alpha 90.00
_cell_angle_beta 90.00
_cell_angle_gamma 90.00
loop_
_space_group_symop_operation_xyz
'x,y,z'
'-x,-y,-z'
'-x,-y,z'
'x,y,-z'
'x+1/2,-y+1/2,-z'
'-x+1/2,y+1/2,z'
'-x+1/2,y+1/2,-z'
'x+1/2,-y+1/2,z'
loop_
_atom_site_label
_atom_site_type_symbol
_atom_site_fract_x
_atom_site_fract_y
_atom_site_fract_z
_atom_site_occupancy
La1 La 0.0586 0.0775 0.0000 1
La2 La 0.0787 0.3654 0.0000 1
La3 La 0.1797 0.6292 0.5000 1
Pr1 Pr 0.1683 0.7845 0.0000 1
Sm1 Sm 0.0000 0.5000 0.5000 1
Sm2 Sm 0.0905 0.2230 0.5000 1
Sm3 Sm 0.2000 0.9434 0.5000 1